# 1
Computed, not measured: Pm12HoIr7 after structural relaxation at the PBE level of DFT.

```
Pm12HoIr7
1.0
7.616 4.397 2.967
-7.616 4.397 2.967
0.000 -8.794 2.967
Pm Ho Ir
12 1 7
direct
0.102 0.246 0.663
0.129 0.413 0.335
0.246 0.663 0.102
0.335 0.129 0.413
0.337 0.898 0.754
0.413 0.335 0.129
0.587 0.665 0.871
0.663 0.102 0.246
0.665 0.871 0.587
0.754 0.337 0.898
0.871 0.587 0.665
0.898 0.754 0.337
0.000 0.000 0.000
0.039 0.946 0.709
0.054 0.291 0.961
0.291 0.961 0.054
0.500 0.500 0.500
0.709 0.039 0.946
0.946 0.709 0.039
0.961 0.054 0.291
```

Output
- Magnetization: 0.00 μB per cell
- E_tot: -133.6 eV for the cell shown
- Formation energy: -0.499 eV per atom



# 2
Computed, not measured: Mg2CoNi after structural relaxation at the PBE level of DFT.

```
Mg2CoNi
1.0
0.000 3.058 3.058
3.058 0.000 3.058
3.058 3.058 0.000
Mg Co Ni
2 1 1
direct
0.000 0.000 0.000
0.250 0.250 0.250
0.500 0.500 0.500
0.750 0.750 0.750
```

Output
- Magnetization: 1.49 μB per cell
- E_tot: -15.5 eV for the cell shown
- Formation energy: 0.144 eV per atom
- Energy above the lowest structure with this stoichiometry: 11.90 kJ per mole of atoms



# 3
Computed, not measured: MnBeIrBr2 after structural relaxation at the PBE level of DFT.

```
MnBeIrBr2
1.0
5.101 0.000 0.000
0.000 5.101 0.000
0.000 0.000 4.969
Mn Be Ir Br
1 1 1 2
direct
0.000 0.000 0.000
0.500 0.500 0.000
0.000 0.000 0.500
0.000 0.500 0.500
0.500 0.000 0.500
```

Output
- Magnetization: 5.04 μB per cell
- E_tot: -20.0 eV for the cell shown
- Formation energy without anion corrections: 1028 meV per atom



# 4
Computed, not measured: Th3GaSe2 after structural relaxation at the PBE level of DFT.

```
Th3GaSe2
1.0
-2.173 2.991 6.300
2.173 -2.991 6.300
2.173 2.991 -6.300
Th Ga Se
3 1 2
direct
0.000 0.000 0.000
0.337 0.337 0.000
0.663 0.663 0.000
0.500 0.000 0.500
0.167 0.667 0.500
0.833 0.333 0.500
```

Output
- Magnetization: 0.00 μB per cell
- E_tot: -39.4 eV for the cell shown
- Formation energy without anion corrections: -1193 meV per atom



# 5
Computed, not measured: VPd2Pt9 after structural relaxation at the PBE level of DFT.

```
VPd2Pt9
1.0
3.942 0.000 0.000
0.000 3.942 0.000
0.000 0.000 11.846
V Pd Pt
1 2 9
direct
0.000 0.000 0.000
0.000 0.000 0.331
0.000 0.000 0.669
0.000 0.500 0.158
0.000 0.500 0.500
0.000 0.500 0.842
0.500 0.000 0.158
0.500 0.000 0.500
0.500 0.000 0.842
0.500 0.500 0.000
0.500 0.500 0.329
0.500 0.500 0.671
```

Output
- Magnetization: 0.00 μB per cell
- E_tot: -76.3 eV for the cell shown
- Formation energy: -0.205 eV per atom



# 6
Computed, not measured: HfBeOs3 after structural relaxation at the PBE level of DFT.

```
HfBeOs3
1.0
4.176 0.000 0.000
0.000 4.176 0.000
0.000 0.000 4.176
Hf Be Os
1 1 3
direct
0.000 0.000 0.000
0.500 0.500 0.500
0.000 0.500 0.500
0.500 0.000 0.500
0.500 0.500 0.000
```

Output
- Magnetization: 0.00 μB per cell
- E_tot: -47.0 eV for the cell shown
- Formation energy: 0.079 eV per atom
- Energy above the lowest structure with this stoichiometry: 0.00 kJ per mole of atoms



# 7
Computed, not measured: Li5SbTe6 after structural relaxation at the PBE level of DFT.

```
Li5SbTe6
1.0
3.254 -6.026 0.000
3.254 6.026 0.000
-2.362 0.000 7.634
Li Sb Te
5 1 6
direct
0.000 0.000 0.000
0.175 0.825 0.500
0.358 0.642 0.000
0.642 0.358 0.000
0.825 0.175 0.500
0.500 0.500 0.500
0.061 0.409 0.247
0.214 0.214 0.737
0.409 0.061 0.247
0.591 0.939 0.753
0.786 0.786 0.263
0.939 0.591 0.753
```

Output
- Magnetization: 0.00 μB per cell
- E_tot: -38.7 eV for the cell shown
- Formation energy without anion corrections: -510 meV per atom



# 8
Computed, not measured: HfZr2V9 after structural relaxation at the PBE level of DFT.

```
HfZr2V9
1.0
2.652 1.531 7.965
-2.652 1.531 7.965
0.000 -3.062 7.965
Hf Zr V
1 2 9
direct
0.000 0.000 0.000
0.144 0.144 0.144
0.856 0.856 0.856
0.079 0.582 0.582
0.333 0.333 0.333
0.418 0.418 0.921
0.418 0.921 0.418
0.500 0.500 0.500
0.582 0.079 0.582
0.582 0.582 0.079
0.667 0.667 0.667
0.921 0.418 0.418
```

Output
- Magnetization: 0.00 μB per cell
- E_tot: -108.1 eV for the cell shown
- Formation energy: 0.089 eV per atom



> Which of these has the highest E_tot?

Mg2CoNi



> What is the magnetization in the first record?

0.00 μB per cell



> E_tot of number 7 (Li5SbTe6)?

-38.7 eV for the cell shown



> Which formula does entry 2 have?

Mg2CoNi